*one*
A plane-wave DFT calculation with PBE-GGA was carried out for a relaxed structure of Nb2Pd2Ru.

Cell: 6.703 6.703 6.703 Å, 146.86 146.86 47.57°
Sites, in units of the cell vectors:
1 Nb 0.250 0.750 0.500
2 Nb 0.750 0.250 0.500
3 Pd 0.099 0.099 0.000
4 Pd 0.901 0.901 0.000
5 Ru 0.500 0.500 0.000



*two*
A plane-wave DFT calculation with PBE-GGA was carried out for a relaxed structure of Nb2Pd2Ru.

Cell: 7.190 7.190 3.232 Å, 90.00 90.00 90.00°
Sites, in units of the cell vectors:
1 Nb 0.178 0.322 0.000
2 Nb 0.322 0.822 0.000
3 Nb 0.678 0.178 0.000
4 Nb 0.822 0.678 0.000
5 Pd 0.127 0.627 0.500
6 Pd 0.373 0.127 0.500
7 Pd 0.627 0.873 0.500
8 Pd 0.873 0.373 0.500
9 Ru 0.000 0.000 0.500
10 Ru 0.500 0.500 0.500



Which is most stable, and by how much? *two*, by 52.8 kJ/mol of atoms.



*one*
A plane-wave DFT calculation with PBE-GGA was carried out for a relaxed structure of Nb2Sb2Pd.

Cell: 7.238 7.238 7.238 Å, 147.34 147.34 46.86°
Sites, in units of the cell vectors:
1 Nb 0.250 0.750 0.500
2 Nb 0.750 0.250 0.500
3 Sb 0.103 0.103 0.000
4 Sb 0.897 0.897 0.000
5 Pd 0.500 0.500 0.000



*two*
A plane-wave DFT calculation with PBE-GGA was carried out for a relaxed structure of Nb2Sb2Pd.

Cell: 7.511 7.511 3.589 Å, 90.00 90.00 90.00°
Sites, in units of the cell vectors:
1 Nb 0.139 0.361 0.000
2 Nb 0.361 0.861 0.000
3 Nb 0.639 0.139 0.000
4 Nb 0.861 0.639 0.000
5 Sb 0.156 0.656 0.500
6 Sb 0.344 0.156 0.500
7 Sb 0.656 0.844 0.500
8 Sb 0.844 0.344 0.500
9 Pd 0.000 0.000 0.500
10 Pd 0.500 0.500 0.500



*three*
A plane-wave DFT calculation with PBE-GGA was carried out for a relaxed structure of Nb2Sb2Pd.

Cell: 7.399 7.399 3.746 Å, 90.00 90.00 90.00°
Sites, in units of the cell vectors:
1 Nb 0.138 0.362 0.000
2 Nb 0.362 0.862 0.000
3 Nb 0.638 0.138 0.000
4 Nb 0.862 0.638 0.000
5 Sb 0.158 0.658 0.500
6 Sb 0.342 0.158 0.500
7 Sb 0.658 0.842 0.500
8 Sb 0.842 0.342 0.500
9 Pd 0.000 0.000 0.000
10 Pd 0.500 0.500 0.000



Which is most stable, and by how much? *two*, by 1.0 kJ/mol of atoms.



*one*
A plane-wave DFT calculation with PBE-GGA was carried out for a relaxed structure of NbSb2TePd.

Cell: 5.095 5.095 5.251 Å, 90.00 90.00 90.00°
Sites, in units of the cell vectors:
1 Nb 0.000 0.000 0.000
2 Sb 0.000 0.500 0.500
3 Sb 0.500 0.000 0.500
4 Te 0.500 0.500 0.000
5 Pd 0.500 0.500 0.500



*two*
A plane-wave DFT calculation with PBE-GGA was carried out for a relaxed structure of NbSb2TePd.

Cell: 5.343 5.343 5.309 Å, 90.00 90.00 90.00°
Sites, in units of the cell vectors:
1 Nb 0.000 0.000 0.000
2 Sb 0.000 0.500 0.000
3 Sb 0.500 0.000 0.000
4 Te 0.000 0.000 0.500
5 Pd 0.500 0.500 0.500



Which is most stable, and by how much? *two*, by 25.3 kJ/mol of atoms.



*one*
A plane-wave DFT calculation with PBE-GGA was carried out for a relaxed structure of NbSbTe2Pd.

Cell: 5.217 5.217 5.056 Å, 90.00 90.00 90.00°
Sites, in units of the cell vectors:
1 Nb 0.000 0.000 0.000
2 Sb 0.500 0.500 0.000
3 Te 0.000 0.500 0.500
4 Te 0.500 0.000 0.500
5 Pd 0.500 0.500 0.500



*two*
A plane-wave DFT calculation with PBE-GGA was carried out for a relaxed structure of NbSbTe2Pd.

Cell: 5.348 5.348 5.383 Å, 90.00 90.00 90.00°
Sites, in units of the cell vectors:
1 Nb 0.000 0.000 0.000
2 Sb 0.000 0.000 0.500
3 Te 0.000 0.500 0.000
4 Te 0.500 0.000 0.000
5 Pd 0.500 0.500 0.500



Which is most stable, and by how much? *two*, by 27.5 kJ/mol of atoms.